Crystalline Pm12Ir6Pb at its relaxed geometry, computed with PBE.

POSCAR file:
```
Pm12Ir6Pb
1.0
-7.7331 -4.2394 0.9371
4.7929 -3.9570 -6.3263
4.4512 -0.2404 7.6669
Pm Ir Pb
12 6 1
Cartesian
2.1781 -2.1342 2.0577
-0.6671 -6.3026 0.2200
3.0718 -5.5039 0.6983
-0.2739 -6.5122 -3.4952
4.3601 -3.7453 -2.6792
0.8803 -3.2947 -1.3796
-1.5608 -2.9330 1.5794
-2.8492 -4.6915 4.9569
5.8068 -3.7820 2.5840
1.7848 -1.9247 5.7729
-4.2959 -4.6549 -0.3062
0.6307 -5.1422 3.6574
3.3882 -3.7829 3.9049
-1.8773 -4.6540 -1.6271
-2.7463 -5.3213 2.2760
2.0051 -5.6762 -2.1906
-0.4941 -2.7607 4.4683
4.2573 -3.1156 0.0017
0.0000 0.0000 0.0000
```

As for the size of the total moment: 0.00 Bohr magnetons per cell. As for the symmetry: Im-3. As for the crystal system: cubic. The density of states at the Fermi level is 0.422 states/eV/atom. The calculation puts the total energy at -123.96 eV per cell. As for the formation energy from the elements: -51.2 kJ per mole of atoms.